Record 1
# GGA-PBE Tb5Gd3H12, relaxed
data_Tb5Gd3H12
_chemical_formula_sum 'Tb20 Gd12 H48'
_space_group_name_H-M_alt 'P 1'
_space_group_IT_number 1
_space_group_name_Hall 'P 1'
_cell_length_a 11.410
_cell_length_b 11.410
_cell_length_c 11.410
_cell_angle_alpha 109.47
_cell_angle_beta 109.47
_cell_angle_gamma 109.47
loop_
_atom_site_label
_atom_site_type_symbol
_atom_site_fract_x
_atom_site_fract_y
_atom_site_fract_z
_atom_site_occupancy
Gd1 Gd 0.750 0.375 0.125 1
Gd2 Gd 0.875 0.750 0.125 1
Gd3 Gd 0.375 0.750 0.625 1
Gd4 Gd 0.250 0.125 0.375 1
Gd5 Gd 0.875 0.125 0.250 1
Gd6 Gd 0.375 0.625 0.250 1
Gd7 Gd 0.625 0.375 0.750 1
Gd8 Gd 0.125 0.875 0.750 1
Gd9 Gd 0.750 0.875 0.625 1
Gd10 Gd 0.625 0.250 0.375 1
Gd11 Gd 0.125 0.250 0.875 1
Gd12 Gd 0.250 0.625 0.875 1
Tb1 Tb 0.125 0.375 0.250 1
Tb2 Tb 0.000 0.500 0.000 1
Tb3 Tb 0.000 0.000 0.000 1
Tb4 Tb 0.375 0.250 0.125 1
Tb5 Tb 0.500 0.000 0.500 1
Tb6 Tb 0.500 0.500 0.000 1
Tb7 Tb 0.125 0.750 0.375 1
Tb8 Tb 0.750 0.125 0.875 1
Tb9 Tb 0.750 0.625 0.375 1
Tb10 Tb 0.375 0.125 0.750 1
Tb11 Tb 0.625 0.875 0.250 1
Tb12 Tb 0.500 0.500 0.500 1
Tb13 Tb 0.500 0.000 0.000 1
Tb14 Tb 0.000 0.000 0.500 1
Tb15 Tb 0.250 0.375 0.625 1
Tb16 Tb 0.250 0.875 0.125 1
Tb17 Tb 0.000 0.500 0.500 1
Tb18 Tb 0.875 0.250 0.625 1
Tb19 Tb 0.625 0.750 0.875 1
Tb20 Tb 0.875 0.625 0.750 1
H1 H 0.724 0.152 0.065 1
H2 H 0.341 0.565 0.413 1
H3 H 0.935 0.348 0.276 1
H4 H 0.565 0.224 0.152 1
H5 H 0.571 0.724 0.659 1
H6 H 0.935 0.587 0.159 1
H7 H 0.341 0.776 0.429 1
H8 H 0.087 0.929 0.152 1
H9 H 0.587 0.935 0.659 1
H10 H 0.724 0.571 0.159 1
H11 H 0.776 0.435 0.348 1
H12 H 0.841 0.913 0.065 1
H13 H 0.152 0.724 0.565 1
H14 H 0.348 0.413 0.071 1
H15 H 0.071 0.913 0.348 1
H16 H 0.429 0.152 0.587 1
H17 H 0.071 0.159 0.224 1
H18 H 0.435 0.659 0.087 1
H19 H 0.841 0.929 0.276 1
H20 H 0.152 0.429 0.087 1
H21 H 0.348 0.935 0.776 1
H22 H 0.587 0.652 0.429 1
H23 H 0.913 0.841 0.565 1
H24 H 0.776 0.341 0.929 1
H25 H 0.413 0.348 0.571 1
H26 H 0.087 0.159 0.435 1
H27 H 0.224 0.659 0.071 1
H28 H 0.159 0.071 0.724 1
H29 H 0.652 0.065 0.224 1
H30 H 0.848 0.571 0.913 1
H31 H 0.565 0.341 0.913 1
H32 H 0.571 0.848 0.413 1
H33 H 0.929 0.841 0.776 1
H34 H 0.929 0.087 0.652 1
H35 H 0.848 0.276 0.435 1
H36 H 0.159 0.087 0.935 1
H37 H 0.652 0.587 0.929 1
H38 H 0.413 0.065 0.341 1
H39 H 0.276 0.429 0.841 1
H40 H 0.224 0.565 0.652 1
H41 H 0.913 0.071 0.848 1
H42 H 0.659 0.224 0.571 1
H43 H 0.435 0.776 0.848 1
H44 H 0.065 0.413 0.841 1
H45 H 0.429 0.276 0.341 1
H46 H 0.065 0.652 0.724 1
H47 H 0.659 0.435 0.587 1
H48 H 0.276 0.848 0.935 1
# VASP energy   -5.751 eV per atom
# V   14.29 A^3/atom

Record 2
# GGA-PBE Tb3Gd5H12, relaxed
data_Tb3Gd5H12
_chemical_formula_sum 'Tb12 Gd20 H48'
_space_group_name_H-M_alt 'P 1'
_space_group_IT_number 1
_space_group_name_Hall 'P 1'
_cell_length_a 11.422
_cell_length_b 11.422
_cell_length_c 11.422
_cell_angle_alpha 109.47
_cell_angle_beta 109.47
_cell_angle_gamma 109.47
loop_
_atom_site_label
_atom_site_type_symbol
_atom_site_fract_x
_atom_site_fract_y
_atom_site_fract_z
_atom_site_occupancy
Tb1 Tb 0.750 0.375 0.125 1
Tb2 Tb 0.875 0.750 0.125 1
Tb3 Tb 0.375 0.750 0.625 1
Tb4 Tb 0.250 0.125 0.375 1
Tb5 Tb 0.875 0.125 0.250 1
Tb6 Tb 0.375 0.625 0.250 1
Tb7 Tb 0.625 0.375 0.750 1
Tb8 Tb 0.125 0.875 0.750 1
Tb9 Tb 0.750 0.875 0.625 1
Tb10 Tb 0.625 0.250 0.375 1
Tb11 Tb 0.125 0.250 0.875 1
Tb12 Tb 0.250 0.625 0.875 1
Gd1 Gd 0.125 0.375 0.250 1
Gd2 Gd 0.000 0.500 0.000 1
Gd3 Gd 0.000 0.000 0.000 1
Gd4 Gd 0.375 0.250 0.125 1
Gd5 Gd 0.500 0.000 0.500 1
Gd6 Gd 0.500 0.500 0.000 1
Gd7 Gd 0.125 0.750 0.375 1
Gd8 Gd 0.750 0.125 0.875 1
Gd9 Gd 0.750 0.625 0.375 1
Gd10 Gd 0.375 0.125 0.750 1
Gd11 Gd 0.625 0.875 0.250 1
Gd12 Gd 0.500 0.500 0.500 1
Gd13 Gd 0.500 0.000 0.000 1
Gd14 Gd 0.000 0.000 0.500 1
Gd15 Gd 0.250 0.375 0.625 1
Gd16 Gd 0.250 0.875 0.125 1
Gd17 Gd 0.000 0.500 0.500 1
Gd18 Gd 0.875 0.250 0.625 1
Gd19 Gd 0.625 0.750 0.875 1
Gd20 Gd 0.875 0.625 0.750 1
H1 H 0.725 0.154 0.068 1
H2 H 0.342 0.568 0.414 1
H3 H 0.932 0.346 0.275 1
H4 H 0.568 0.225 0.154 1
H5 H 0.572 0.725 0.658 1
H6 H 0.932 0.586 0.158 1
H7 H 0.342 0.775 0.428 1
H8 H 0.086 0.928 0.154 1
H9 H 0.586 0.932 0.658 1
H10 H 0.725 0.572 0.158 1
H11 H 0.775 0.432 0.346 1
H12 H 0.842 0.914 0.068 1
H13 H 0.154 0.725 0.568 1
H14 H 0.346 0.414 0.072 1
H15 H 0.072 0.914 0.346 1
H16 H 0.428 0.154 0.586 1
H17 H 0.072 0.158 0.225 1
H18 H 0.432 0.658 0.086 1
H19 H 0.842 0.928 0.275 1
H20 H 0.154 0.428 0.086 1
H21 H 0.346 0.932 0.775 1
H22 H 0.586 0.654 0.428 1
H23 H 0.914 0.842 0.568 1
H24 H 0.775 0.342 0.928 1
H25 H 0.414 0.346 0.572 1
H26 H 0.086 0.158 0.432 1
H27 H 0.225 0.658 0.072 1
H28 H 0.158 0.072 0.725 1
H29 H 0.654 0.068 0.225 1
H30 H 0.846 0.572 0.914 1
H31 H 0.568 0.342 0.914 1
H32 H 0.572 0.846 0.414 1
H33 H 0.928 0.842 0.775 1
H34 H 0.928 0.086 0.654 1
H35 H 0.846 0.275 0.432 1
H36 H 0.158 0.086 0.932 1
H37 H 0.654 0.586 0.928 1
H38 H 0.414 0.068 0.342 1
H39 H 0.275 0.428 0.842 1
H40 H 0.225 0.568 0.654 1
H41 H 0.914 0.072 0.846 1
H42 H 0.658 0.225 0.572 1
H43 H 0.432 0.775 0.846 1
H44 H 0.068 0.414 0.842 1
H45 H 0.428 0.275 0.342 1
H46 H 0.068 0.654 0.725 1
H47 H 0.658 0.432 0.586 1
H48 H 0.275 0.846 0.932 1
# VASP energy   -6.688 eV per atom
# V   14.34 A^3/atom

| no. | theoretical density (g cm⁻³) |
| --- | --- |
| 1 | 7.43 |
| 2 | 7.38 |